Record 1
A plane-wave DFT calculation with PBE was carried out for a geometry-optimized NiSeCl structure. Values from VASP.

```
&SYSTEM
  ibrav = 0, nat = 6, ntyp = 3
/
ATOMIC_SPECIES
Ni 58.69 Ni.upf
Se 78.96 Se.upf
Cl 35.45 Cl.upf
ATOMIC_POSITIONS crystal
Ni 0.750 0.750 0.869
Ni 0.250 0.250 0.131
Se 0.750 0.250 0.922
Se 0.250 0.750 0.078
Cl 0.750 0.250 0.328
Cl 0.250 0.750 0.672
CELL_PARAMETERS angstrom
0.082 -3.342 -0.369
-0.037 -0.553 5.003
-7.832 -0.178 -0.078
```

Summary:
SG: Pmmn (59)
Formation energy without anion corrections (eV per formula unit): -1.32

=====

Record 2
A plane-wave DFT calculation with PBE was carried out for a geometry-optimized NiSe3Cl structure. Values from VASP.

```
&SYSTEM
  ibrav = 0, nat = 5, ntyp = 3
/
ATOMIC_SPECIES
Ni 58.69 Ni.upf
Se 78.96 Se.upf
Cl 35.45 Cl.upf
ATOMIC_POSITIONS crystal
Ni 0.000 0.000 0.000
Se 0.000 0.500 0.000
Se 0.000 0.000 0.500
Se 0.500 0.000 0.000
Cl 0.500 0.500 0.500
CELL_PARAMETERS angstrom
4.729 0.000 0.000
0.000 4.729 0.000
0.000 0.000 4.729
```

Summary:
SG: Pm-3m (221)
Polymorph energy (0 for the lowest one) (eV per atom): 0.342
Formation energy without anion corrections (eV per formula unit): 2.16

=====

Record 3
A plane-wave DFT calculation with PBE was carried out for a geometry-optimized NiSeCl2 structure. Values from VASP.

```
&SYSTEM
  ibrav = 0, nat = 4, ntyp = 3
/
ATOMIC_SPECIES
Ni 58.69 Ni.upf
Se 78.96 Se.upf
Cl 35.45 Cl.upf
ATOMIC_POSITIONS crystal
Ni 0.000 0.438 0.520
Se 0.500 0.565 0.677
Cl 0.000 0.156 0.946
Cl 0.500 0.342 0.357
CELL_PARAMETERS angstrom
3.219 0.000 0.000
0.000 4.409 0.204
0.000 3.190 7.432
```

Summary:
SG: Pm (6)
Polymorph energy (0 for the lowest one) (eV per atom): 0.194
Formation energy without anion corrections (eV per formula unit): -0.67

=====

Record 4
A plane-wave DFT calculation with PBE was carried out for a geometry-optimized NiSe2Cl structure. Values from VASP.

```
&SYSTEM
  ibrav = 0, nat = 8, ntyp = 3
/
ATOMIC_SPECIES
Ni 58.69 Ni.upf
Se 78.96 Se.upf
Cl 35.45 Cl.upf
ATOMIC_POSITIONS crystal
Ni 0.750 0.250 0.500
Ni 0.250 0.750 0.500
Se 0.851 0.351 0.000
Se 0.149 0.649 0.000
Se 0.351 0.149 0.000
Se 0.649 0.851 0.000
Cl 0.750 0.750 0.500
Cl 0.250 0.250 0.500
CELL_PARAMETERS angstrom
8.658 0.000 0.000
0.000 8.658 0.000
4.329 4.329 2.617
```

Summary:
SG: I4/mcm (140)
Polymorph energy (0 for the lowest one) (eV per atom): 0.455
Formation energy without anion corrections (eV per formula unit): 0.57

=====

Record 5
A plane-wave DFT calculation with PBE was carried out for a geometry-optimized NiSe2Cl structure. Values from VASP.

```
&SYSTEM
  ibrav = 0, nat = 4, ntyp = 3
/
ATOMIC_SPECIES
Cl 35.45 Cl.upf
Ni 58.69 Ni.upf
Se 78.96 Se.upf
ATOMIC_POSITIONS crystal
Cl 0.500 0.500 0.250
Ni 0.500 0.500 0.750
Se 0.000 0.000 0.922
Se 0.000 0.000 0.578
CELL_PARAMETERS angstrom
-0.650 1.704 -2.706
-2.932 0.785 1.199
2.768 5.787 2.980
```

Summary:
SG: P4/mmm (123)
Polymorph energy (0 for the lowest one) (eV per atom): 0.426
Formation energy without anion corrections (eV per formula unit): 0.45

=====

Record 6
A plane-wave DFT calculation with PBE was carried out for a geometry-optimized NiSe2Cl structure. Values from VASP.

```
&SYSTEM
  ibrav = 0, nat = 8, ntyp = 3
/
ATOMIC_SPECIES
Ni 58.69 Ni.upf
Se 78.96 Se.upf
Cl 35.45 Cl.upf
ATOMIC_POSITIONS crystal
Ni 0.000 0.000 0.000
Ni 0.750 0.250 0.500
Se 0.792 0.792 0.415
Se 0.958 0.458 0.085
Se 0.208 0.208 0.585
Se 0.542 0.042 0.915
Cl 0.500 0.500 0.000
Cl 0.250 0.750 0.500
CELL_PARAMETERS angstrom
-3.056 -1.411 -3.973
-0.373 -4.797 1.990
-6.247 -1.536 1.939
```

Summary:
SG: I4_1/amd (141)
Polymorph energy (0 for the lowest one) (eV per atom): 0.312
Formation energy without anion corrections (eV per formula unit): 0.00

=====

Record 7
A plane-wave DFT calculation with PBE was carried out for a geometry-optimized NiSeCl2 structure. Values from VASP.

```
&SYSTEM
  ibrav = 0, nat = 4, ntyp = 3
/
ATOMIC_SPECIES
Ni 58.69 Ni.upf
Se 78.96 Se.upf
Cl 35.45 Cl.upf
ATOMIC_POSITIONS crystal
Ni 0.000 0.000 0.533
Se 0.500 0.500 0.690
Cl 0.000 0.000 0.933
Cl 0.500 0.500 0.344
CELL_PARAMETERS angstrom
3.141 0.000 0.000
0.000 3.141 0.000
0.000 0.000 8.002
```

Summary:
SG: P4mm (99)
Polymorph energy (0 for the lowest one) (eV per atom): 0.501
Formation energy without anion corrections (eV per formula unit): 0.55

=====

Record 8
A plane-wave DFT calculation with PBE was carried out for a geometry-optimized NiSeCl2 structure. Values from VASP.

```
&SYSTEM
  ibrav = 0, nat = 4, ntyp = 3
/
ATOMIC_SPECIES
Ni 58.69 Ni.upf
Se 78.96 Se.upf
Cl 35.45 Cl.upf
ATOMIC_POSITIONS crystal
Ni 0.500 0.500 0.250
Se 0.500 0.500 0.750
Cl 0.000 0.000 0.100
Cl 0.000 0.000 0.400
CELL_PARAMETERS angstrom
-2.266 -1.954 -1.674
0.646 0.050 3.367
-7.247 7.304 1.282
```

Summary:
SG: Cmmm (65)
Polymorph energy (0 for the lowest one) (eV per atom): 0.355
Formation energy without anion corrections (eV per formula unit): -0.03

=====

Record 9
A plane-wave DFT calculation with PBE was carried out for a geometry-optimized NiSeCl2 structure. Values from VASP.

```
&SYSTEM
  ibrav = 0, nat = 4, ntyp = 3
/
ATOMIC_SPECIES
Ni 58.69 Ni.upf
Se 78.96 Se.upf
Cl 35.45 Cl.upf
ATOMIC_POSITIONS crystal
Ni 0.475 0.475 0.473
Se 0.136 0.136 0.320
Cl 0.032 0.032 0.063
Cl 0.857 0.857 0.644
CELL_PARAMETERS angstrom
3.971 -0.296 -0.056
2.777 2.853 -0.056
0.968 0.367 7.807
```

Summary:
SG: Cm (8)
Polymorph energy (0 for the lowest one) (eV per atom): 0.000
Formation energy without anion corrections (eV per formula unit): -1.45

=====

Record 10
A plane-wave DFT calculation with PBE was carried out for a geometry-optimized NiSe2Cl structure. Values from VASP.

```
&SYSTEM
  ibrav = 0, nat = 4, ntyp = 3
/
ATOMIC_SPECIES
Cl 35.45 Cl.upf
Ni 58.69 Ni.upf
Se 78.96 Se.upf
ATOMIC_POSITIONS crystal
Cl 0.000 0.723 0.601
Ni 0.500 0.746 0.826
Se 0.000 0.768 0.066
Se 0.500 0.263 0.008
CELL_PARAMETERS angstrom
3.497 0.000 0.000
0.000 4.317 -0.324
0.000 0.084 6.750
```

Summary:
SG: Pm (6)
Polymorph energy (0 for the lowest one) (eV per atom): 0.139
Formation energy without anion corrections (eV per formula unit): -0.69

=====

Record 11
A plane-wave DFT calculation with PBE was carried out for a geometry-optimized NiSeCl structure. Values from VASP.

```
&SYSTEM
  ibrav = 0, nat = 3, ntyp = 3
/
ATOMIC_SPECIES
Cl 35.45 Cl.upf
Ni 58.69 Ni.upf
Se 78.96 Se.upf
ATOMIC_POSITIONS crystal
Cl 0.957 0.957 0.000
Ni 0.325 0.325 0.000
Se 0.718 0.718 0.000
CELL_PARAMETERS angstrom
-5.828 1.701 2.626
-6.484 0.122 -1.303
5.954 -2.878 0.162
```

Summary:
SG: I4mm (107)
Formation energy without anion corrections (eV per formula unit): 0.23

=====

Record 12
A plane-wave DFT calculation with PBE was carried out for a geometry-optimized Ni2SeCl structure. Values from VASP.

```
&SYSTEM
  ibrav = 0, nat = 4, ntyp = 3
/
ATOMIC_SPECIES
Cl 35.45 Cl.upf
Ni 58.69 Ni.upf
Se 78.96 Se.upf
ATOMIC_POSITIONS crystal
Cl 0.500 0.500 0.750
Ni 0.000 0.000 0.044
Ni 0.000 0.000 0.456
Se 0.500 0.500 0.250
CELL_PARAMETERS angstrom
3.106 0.000 0.000
0.000 3.106 0.000
0.000 0.000 6.312
```

Summary:
SG: P4/mmm (123)
Polymorph energy (0 for the lowest one) (eV per atom): 0.310
Formation energy without anion corrections (eV per formula unit): 0.68

=====

Record 13
A plane-wave DFT calculation with PBE was carried out for a geometry-optimized NiSe2Cl2 structure. Values from VASP.

```
&SYSTEM
  ibrav = 0, nat = 10, ntyp = 3
/
ATOMIC_SPECIES
Ni 58.69 Ni.upf
Se 78.96 Se.upf
Cl 35.45 Cl.upf
ATOMIC_POSITIONS crystal
Ni 0.000 0.000 0.000
Ni 0.500 0.500 0.000
Se 0.334 0.834 0.000
Se 0.834 0.666 0.000
Se 0.666 0.166 0.000
Se 0.166 0.334 0.000
Cl 0.322 0.822 0.500
Cl 0.822 0.678 0.500
Cl 0.678 0.178 0.500
Cl 0.178 0.322 0.500
CELL_PARAMETERS angstrom
6.424 0.000 0.000
0.000 6.424 0.000
0.000 0.000 5.042
```

Summary:
SG: P4/mbm (127)
Formation energy without anion corrections (eV per formula unit): 0.01

=====

Record 14
A plane-wave DFT calculation with PBE was carried out for a geometry-optimized NiSe2Cl structure. Values from VASP.

```
&SYSTEM
  ibrav = 0, nat = 32, ntyp = 3
/
ATOMIC_SPECIES
Ni 58.69 Ni.upf
Se 78.96 Se.upf
Cl 35.45 Cl.upf
ATOMIC_POSITIONS crystal
Ni 0.353 0.607 0.070
Ni 0.147 0.570 0.107
Ni 0.647 0.393 0.930
Ni 0.853 0.430 0.893
Ni 0.316 0.122 0.093
Ni 0.184 0.593 0.622
Ni 0.684 0.878 0.907
Ni 0.816 0.407 0.378
Se 0.049 0.868 0.642
Se 0.451 0.142 0.368
Se 0.951 0.132 0.358
Se 0.549 0.858 0.632
Se 0.748 0.215 0.234
Se 0.752 0.734 0.715
Se 0.252 0.785 0.766
Se 0.248 0.266 0.285
Se 0.396 0.806 0.233
Se 0.104 0.733 0.306
Se 0.604 0.194 0.767
Se 0.896 0.267 0.694
Se 0.750 0.258 0.758
Se 0.250 0.742 0.242
Se 0.750 0.544 0.044
Se 0.250 0.456 0.956
Cl 0.041 0.261 0.148
Cl 0.459 0.648 0.761
Cl 0.959 0.739 0.852
Cl 0.541 0.352 0.239
Cl 0.320 0.317 0.660
Cl 0.180 0.160 0.817
Cl 0.680 0.683 0.340
Cl 0.820 0.840 0.183
CELL_PARAMETERS angstrom
15.079 0.000 -3.122
3.100 6.066 -5.076
-3.100 6.066 5.076
```

Summary:
SG: C2/c (15)
Polymorph energy (0 for the lowest one) (eV per atom): 0.159
Formation energy without anion corrections (eV per formula unit): -0.61